! Zr3TaSe8 | Alexandria | GGA-PBE | optimized geometry; values from VASP
&SYSTEM
  ibrav = 0, nat = 12, ntyp = 3
/
ATOMIC_SPECIES
Zr 91.22 Zr.upf
Ta 180.95 Ta.upf
Se 78.96 Se.upf
ATOMIC_POSITIONS crystal
Zr 0.000 0.000 0.000
Zr 0.000 0.500 0.000
Zr 0.500 0.000 0.000
Ta 0.500 0.500 0.000
Se 0.246 0.246 0.237
Se 0.256 0.740 0.233
Se 0.260 0.744 0.767
Se 0.261 0.261 0.767
Se 0.739 0.739 0.233
Se 0.740 0.256 0.233
Se 0.744 0.260 0.767
Se 0.754 0.754 0.763
CELL_PARAMETERS angstrom
6.436 -3.714 0.000
6.436 3.714 0.000
-4.347 0.000 6.926
! Volume ... 27.59 A^3/atom
! Formation energy from raw total energies ... -114 kJ/mol of atoms
! Crystal system ... monoclinic

=====

! CeTlGaPd | Alexandria | GGA-PBE | optimized geometry; values from VASP
&SYSTEM
  ibrav = 0, nat = 4, ntyp = 4
/
ATOMIC_SPECIES
Ce 140.12 Ce.upf
Tl 204.38 Tl.upf
Ga 69.72 Ga.upf
Pd 106.42 Pd.upf
ATOMIC_POSITIONS crystal
Ce 0.000 0.000 0.000
Tl 0.500 0.500 0.500
Ga 0.250 0.250 0.250
Pd 0.750 0.750 0.750
CELL_PARAMETERS angstrom
0.000 3.513 3.513
3.513 0.000 3.513
3.513 3.513 0.000
! Volume ... 21.68 A^3/atom
! Energy of formation ... -0.424 eV/atom
! Crystal system ... cubic

=====

! Nd4AlRu | Alexandria | GGA-PBE | optimized geometry; values from VASP
&SYSTEM
  ibrav = 0, nat = 12, ntyp = 3
/
ATOMIC_SPECIES
Nd 144.24 Nd.upf
Al 26.98 Al.upf
Ru 101.07 Ru.upf
ATOMIC_POSITIONS crystal
Nd 0.062 0.706 0.923
Nd 0.215 0.352 0.671
Nd 0.294 0.938 0.577
Nd 0.352 0.215 0.171
Nd 0.648 0.785 0.829
Nd 0.706 0.062 0.423
Nd 0.785 0.648 0.329
Nd 0.938 0.294 0.077
Al 0.375 0.625 0.250
Al 0.625 0.375 0.750
Ru 0.001 0.999 0.750
Ru 0.999 0.001 0.250
CELL_PARAMETERS angstrom
4.485 -6.919 0.000
4.485 6.919 0.000
-2.752 0.000 5.628
! Volume ... 29.11 A^3/atom
! Relative energy among the computed polymorphs ... 64 meV per atom
! Energy of formation ... -0.205 eV/atom
! Crystal system ... monoclinic

=====

! Tm4TlAg2Hg | Alexandria | GGA-PBE | optimized geometry; values from VASP
&SYSTEM
  ibrav = 0, nat = 8, ntyp = 4
/
ATOMIC_SPECIES
Tm 168.93 Tm.upf
Tl 204.38 Tl.upf
Ag 107.87 Ag.upf
Hg 200.59 Hg.upf
ATOMIC_POSITIONS crystal
Tm 0.123 0.123 0.123
Tm 0.373 0.373 0.373
Tm 0.627 0.627 0.627
Tm 0.877 0.877 0.877
Tl 0.500 0.500 0.500
Ag 0.250 0.250 0.250
Ag 0.750 0.750 0.750
Hg 0.000 0.000 0.000
CELL_PARAMETERS angstrom
2.582 1.491 8.441
-2.582 1.491 8.441
0.000 -2.981 8.441
! Volume ... 24.36 A^3/atom
! Energy of formation ... -0.374 eV/atom
! Crystal system ... trigonal

=====

! MgSb2Rh | Alexandria | GGA-PBE | optimized geometry; values from VASP
&SYSTEM
  ibrav = 0, nat = 4, ntyp = 3
/
ATOMIC_SPECIES
Mg 24.30 Mg.upf
Sb 121.76 Sb.upf
Rh 102.91 Rh.upf
ATOMIC_POSITIONS crystal
Mg 0.000 0.000 0.000
Sb 0.500 0.500 0.285
Sb 0.500 0.500 0.715
Rh 0.000 0.000 0.500
CELL_PARAMETERS angstrom
3.246 0.000 0.000
0.000 3.324 0.000
0.000 0.000 7.838
! Volume ... 21.15 A^3/atom
! Formation energy from raw total energies ... -19 kJ/mol of atoms
! Crystal system ... orthorhombic

=====

! Tb2TlP | Alexandria | GGA-PBE | optimized geometry; values from VASP
&SYSTEM
  ibrav = 0, nat = 4, ntyp = 3
/
ATOMIC_SPECIES
Tb 158.93 Tb.upf
Tl 204.38 Tl.upf
P 30.97 P.upf
ATOMIC_POSITIONS crystal
Tb 0.235 0.235 0.202
Tb 0.765 0.765 0.798
Tl 0.000 0.000 0.500
P 0.500 0.500 0.000
CELL_PARAMETERS angstrom
3.400 -1.970 0.000
3.400 1.970 0.000
-2.298 0.000 7.955
! Volume ... 26.65 A^3/atom
! Relative energy among the computed polymorphs ... 0 meV per atom
! Energy of formation ... -0.974 eV/atom
! Crystal system ... monoclinic

=====

! AlFe2W | Alexandria | GGA-PBE | optimized geometry; values from VASP
&SYSTEM
  ibrav = 0, nat = 4, ntyp = 3
/
ATOMIC_SPECIES
Al 26.98 Al.upf
Fe 55.84 Fe.upf
W 183.84 W.upf
ATOMIC_POSITIONS crystal
Al 0.000 0.000 0.000
Fe 0.283 0.500 0.759
Fe 0.717 0.500 0.241
W 0.500 0.000 0.500
CELL_PARAMETERS angstrom
2.620 0.000 0.000
0.000 4.025 0.000
-1.051 0.000 5.022
! Volume ... 13.24 A^3/atom
! Energy of formation ... -0.002 eV/atom
! Crystal system ... monoclinic

=====

! LiMgCdBi | Alexandria | GGA-PBE | optimized geometry; values from VASP
&SYSTEM
  ibrav = 0, nat = 4, ntyp = 4
/
ATOMIC_SPECIES
Li 6.94 Li.upf
Mg 24.30 Mg.upf
Cd 112.41 Cd.upf
Bi 208.98 Bi.upf
ATOMIC_POSITIONS crystal
Li 0.000 0.000 0.000
Mg 0.500 0.500 0.500
Cd 0.750 0.750 0.750
Bi 0.250 0.250 0.250
CELL_PARAMETERS angstrom
0.000 3.607 3.607
3.607 0.000 3.607
3.607 3.607 0.000
! Volume ... 23.46 A^3/atom
! Energy of formation ... -0.245 eV/atom
! Crystal system ... cubic